[1]
NaV3Co after structural relaxation, computed with PBE-GGA.

a b c (Å): 4.372 4.372 4.372
angles (deg): 90.00 90.00 90.00
Site moments in Bohr magnetons follow the coordinates.
Positions (direct):
Na 0.000 0.000 0.000  0.02
V 0.500 0.000 0.000  0.57
V 0.000 0.500 0.000  0.57
V 0.000 0.000 0.500  0.57
Co 0.500 0.500 0.500  1.86

Results
* energy of formation: 2425 meV per atom
* polymorph energy (0 for the lowest one): 1.4619 eV/atom
* crystal system: cubic

[2]
MgTa2SnPt after structural relaxation, computed with PBE-GGA.

a b c (Å): 4.821 4.541 4.821
angles (deg): 90.00 90.00 90.00
Positions (direct):
Ta 0.000 0.000 0.500
Ta 0.500 0.000 0.000
Pt 0.000 0.500 0.000
Mg 0.000 0.000 0.000
Sn 0.500 0.500 0.500

Results
* energy of formation: 1325 meV per atom
* crystal system: tetragonal

[3]
La12YIn3 after structural relaxation, computed with PBE-GGA.

a b c (Å): 5.086 5.086 20.609
angles (deg): 90.00 90.00 90.00
Positions (direct):
In 0.000 0.000 0.500
In 0.000 0.000 0.745
In 0.000 0.000 0.255
La 0.000 0.500 0.869
La 0.500 0.000 0.377
La 0.000 0.500 0.377
La 0.500 0.000 0.623
La 0.500 0.500 0.500
La 0.500 0.500 0.745
La 0.500 0.500 0.255
La 0.500 0.500 0.000
La 0.500 0.000 0.131
La 0.000 0.500 0.623
La 0.500 0.000 0.869
La 0.000 0.500 0.131
Y 0.000 0.000 0.000

Results
* energy of formation: -215 meV per atom
* crystal system: tetragonal

no.,raw total energy (eV per atom)
1,-4.732
2,-5.744
3,-4.828